(1)
DFT (PBE) results for an optimized crystal structure of MgIn2Cl.

Cell lengths 3.404, 3.404, 9.948 Å; angles 90.00, 90.00, 117.26 degrees
Positions (direct):
Cl: 0.500 0.500 0.750
In: 0.000 0.000 0.983
In: 0.000 0.000 0.517
Mg: 0.500 0.500 0.250

Summary:
total DFT energy (no corrections): -2.47 eV/atom
ΔE to the lowest computed polymorph: 260 meV per atom
ΔE_f (raw): -23.6 kJ/mol of atoms
ρ: 4.69 g cm⁻³
magnetization: 0.000 μB/f.u.

(2)
DFT (PBE) results for an optimized crystal structure of MgIn2Cl.

Cell lengths 6.002, 6.002, 6.272 Å; angles 61.95, 61.95, 32.30 degrees
Positions (direct):
Cl: 0.185 0.185 0.374
In: 0.995 0.995 0.981
In: 0.790 0.790 0.767
Mg: 0.530 0.530 0.377

Summary:
total DFT energy (no corrections): -2.65 eV/atom
ΔE to the lowest computed polymorph: 79 meV per atom
ΔE_f (raw): -41.0 kJ/mol of atoms
ρ: 4.56 g cm⁻³
magnetization: 0.000 μB/f.u.

(3)
DFT (PBE) results for an optimized crystal structure of MgIn2Cl.

Cell lengths 9.768, 9.768, 9.768 Å; angles 20.74, 20.74, 20.74 degrees
Positions (direct):
Cl: 0.750 0.750 0.750
In: 0.004 0.004 0.004
In: 0.496 0.496 0.496
Mg: 0.250 0.250 0.250

Summary:
total DFT energy (no corrections): -2.50 eV/atom
ΔE to the lowest computed polymorph: 231 meV per atom
ΔE_f (raw): -26.4 kJ/mol of atoms
ρ: 4.70 g cm⁻³
magnetization: 0.000 μB/f.u.

(4)
DFT (PBE) results for an optimized crystal structure of MgInCl.

Cell lengths 3.431, 6.039, 7.854 Å; angles 101.62, 102.65, 89.95 degrees
Positions (direct):
Mg: 0.836 0.267 0.180
Mg: 0.534 0.120 0.571
In: 0.187 0.447 0.881
In: 0.184 0.948 0.870
Cl: 0.451 0.446 0.409
Cl: 0.919 0.941 0.342

Summary:
total DFT energy (no corrections): -2.82 eV/atom
ΔE to the lowest computed polymorph: 102 meV per atom
ΔE_f (raw): -73.2 kJ/mol of atoms
ρ: 3.73 g cm⁻³
magnetization: 0.000 μB/f.u.

(5)
DFT (PBE) results for an optimized crystal structure of MgInCl.

Cell lengths 3.424, 8.670, 5.216 Å; angles 90.00, 90.00, 90.00 degrees
Positions (direct):
Mg: 0.000 0.317 0.241
Mg: 0.500 0.683 0.741
In: 0.000 0.930 0.990
In: 0.500 0.070 0.490
Cl: 0.000 0.589 0.434
Cl: 0.500 0.411 0.934

Summary:
total DFT energy (no corrections): -2.80 eV/atom
ΔE to the lowest computed polymorph: 121 meV per atom
ΔE_f (raw): -71.3 kJ/mol of atoms
ρ: 3.74 g cm⁻³
magnetization: 0.000 μB/f.u.

(6)
DFT (PBE) results for an optimized crystal structure of MgInCl.

Cell lengths 3.474, 15.308, 6.791 Å; angles 90.00, 117.10, 90.00 degrees
Positions (direct):
Mg: 0.739 0.649 0.150
Mg: 0.739 0.351 0.150
Mg: 0.739 0.149 0.650
Mg: 0.739 0.851 0.650
Cl: 0.004 0.780 0.398
Cl: 0.004 0.220 0.398
Cl: 0.004 0.280 0.898
Cl: 0.004 0.720 0.898
In: 0.959 0.000 0.282
In: 0.959 0.500 0.782
In: 0.374 0.000 0.793
In: 0.374 0.500 0.293

Summary:
total DFT energy (no corrections): -2.81 eV/atom
ΔE to the lowest computed polymorph: 111 meV per atom
ΔE_f (raw): -72.3 kJ/mol of atoms
ρ: 3.61 g cm⁻³
magnetization: 0.000 μB/f.u.

(7)
DFT (PBE) results for an optimized crystal structure of MgInCl.

Cell lengths 3.446, 3.446, 8.249 Å; angles 90.00, 90.00, 120.00 degrees
Positions (direct):
Cl: 0.000 0.000 0.890
In: 0.667 0.333 0.402
Mg: 0.333 0.667 0.709

Summary:
total DFT energy (no corrections): -2.77 eV/atom
ΔE to the lowest computed polymorph: 152 meV per atom
ΔE_f (raw): -68.4 kJ/mol of atoms
ρ: 3.42 g cm⁻³
magnetization: 0.000 μB/f.u.

(8)
DFT (PBE) results for an optimized crystal structure of MgIn2Cl2.

Cell lengths 6.556, 6.556, 6.589 Å; angles 90.00, 90.00, 90.00 degrees
Positions (direct):
Mg: 0.000 0.000 0.000
Mg: 0.500 0.500 0.000
Cl: 0.317 0.817 0.000
Cl: 0.817 0.683 0.000
Cl: 0.683 0.183 0.000
Cl: 0.183 0.317 0.000
In: 0.198 0.698 0.500
In: 0.698 0.802 0.500
In: 0.802 0.302 0.500
In: 0.302 0.198 0.500

Summary:
total DFT energy (no corrections): -2.88 eV/atom
ΔE to the lowest computed polymorph: 0 meV per atom
ΔE_f (raw): -69.8 kJ/mol of atoms
ρ: 3.81 g cm⁻³
magnetization: 0.000 μB/f.u.

(9)
DFT (PBE) results for an optimized crystal structure of MgIn2Cl.

Cell lengths 8.028, 8.028, 4.405 Å; angles 74.04, 74.04, 22.64 degrees
Positions (direct):
Cl: 0.250 0.250 0.250
In: 0.061 0.061 0.939
In: 0.439 0.439 0.561
Mg: 0.750 0.750 0.750

Summary:
total DFT energy (no corrections): -2.61 eV/atom
ΔE to the lowest computed polymorph: 120 meV per atom
ΔE_f (raw): -37.1 kJ/mol of atoms
ρ: 4.58 g cm⁻³
magnetization: 0.000 μB/f.u.

(10)
DFT (PBE) results for an optimized crystal structure of MgIn2Cl.

Cell lengths 5.560, 5.560, 3.312 Å; angles 85.10, 85.10, 89.76 degrees
Positions (direct):
Cl: 0.000 0.500 0.500
In: 0.000 0.000 0.000
In: 0.500 0.500 0.000
Mg: 0.500 0.000 0.500

Summary:
total DFT energy (no corrections): -2.53 eV/atom
ΔE to the lowest computed polymorph: 201 meV per atom
ΔE_f (raw): -29.3 kJ/mol of atoms
ρ: 4.73 g cm⁻³
magnetization: 0.000 μB/f.u.

(11)
DFT (PBE) results for an optimized crystal structure of MgInCl4.

Cell lengths 3.841, 6.865, 13.097 Å; angles 90.59, 90.00, 90.00 degrees
Positions (direct):
Mg: 0.000 0.000 0.500
Mg: 0.500 0.500 0.000
In: 0.500 0.500 0.500
In: 0.000 0.000 0.000
Cl: 0.499 0.144 0.394
Cl: 0.999 0.356 0.106
Cl: 0.501 0.856 0.606
Cl: 0.001 0.644 0.894
Cl: 0.000 0.700 0.388
Cl: 0.500 0.800 0.112
Cl: 0.000 0.300 0.612
Cl: 0.500 0.200 0.888

Summary:
total DFT energy (no corrections): -3.26 eV/atom
ΔE to the lowest computed polymorph: 0 meV per atom
ΔE_f (raw): -125.9 kJ/mol of atoms
ρ: 2.70 g cm⁻³
magnetization: 0.000 μB/f.u.

(12)
DFT (PBE) results for an optimized crystal structure of MgIn4Cl6.

Cell lengths 7.859, 8.672, 13.440 Å; angles 74.44, 73.00, 63.06 degrees
Positions (direct):
Mg: 0.683 0.794 0.413
Mg: 0.109 0.294 0.913
In: 0.303 0.945 0.661
In: 0.091 0.445 0.161
In: 0.791 0.292 0.404
In: 0.512 0.792 0.904
In: 0.974 0.671 0.655
In: 0.700 0.171 0.155
In: 0.687 0.185 0.796
In: 0.332 0.685 0.296
Cl: 0.343 0.617 0.075
Cl: 0.964 0.117 0.575
Cl: 0.439 0.692 0.512
Cl: 0.357 0.192 0.012
Cl: 0.562 0.060 0.480
Cl: 0.899 0.560 0.980
Cl: 0.973 0.087 0.954
Cl: 0.986 0.587 0.454
Cl: 0.026 0.021 0.270
Cl: 0.683 0.521 0.770
Cl: 0.258 0.322 0.733
Cl: 0.687 0.822 0.233

Summary:
total DFT energy (no corrections): -3.21 eV/atom
ΔE_f (raw): -102.4 kJ/mol of atoms
ρ: 3.00 g cm⁻³
magnetization: 0.000 μB/f.u.

(13)
DFT (PBE) results for an optimized crystal structure of MgIn2Cl.

Cell lengths 3.367, 5.355, 5.510 Å; angles 90.00, 90.00, 90.00 degrees
Positions (direct):
Cl: 0.000 0.500 0.500
In: 0.000 0.000 0.000
In: 0.500 0.500 0.000
Mg: 0.500 0.000 0.500

Summary:
total DFT energy (no corrections): -2.57 eV/atom
ΔE to the lowest computed polymorph: 167 meV per atom
ΔE_f (raw): -32.6 kJ/mol of atoms
ρ: 4.84 g cm⁻³
magnetization: 0.000 μB/f.u.

(14)
DFT (PBE) results for an optimized crystal structure of MgIn2Cl.

Cell lengths 3.375, 3.375, 10.279 Å; angles 90.00, 90.00, 113.34 degrees
Positions (direct):
Cl: 0.500 0.500 0.671
In: 0.000 0.000 0.025
In: 0.500 0.500 0.285
Mg: 0.000 0.000 0.518

Summary:
total DFT energy (no corrections): -2.73 eV/atom
ΔE to the lowest computed polymorph: 0 meV per atom
ΔE_f (raw): -48.7 kJ/mol of atoms
ρ: 4.47 g cm⁻³
magnetization: 0.000 μB/f.u.

(15)
DFT (PBE) results for an optimized crystal structure of MgInCl4.

Cell lengths 6.064, 6.064, 6.064 Å; angles 60.00, 60.00, 60.00 degrees
Positions (direct):
Mg: 0.000 0.000 0.000
In: 0.750 0.750 0.750
Cl: 0.877 0.374 0.374
Cl: 0.374 0.374 0.877
Cl: 0.374 0.877 0.374
Cl: 0.374 0.374 0.374

Summary:
total DFT energy (no corrections): -1.95 eV/atom
ΔE to the lowest computed polymorph: 1305 meV per atom
ΔE_f (raw): 0.0 kJ/mol of atoms
ρ: 2.96 g cm⁻³
magnetization: 1.993 μB/f.u.

(16)
DFT (PBE) results for an optimized crystal structure of MgInCl.

Cell lengths 5.086, 5.086, 5.086 Å; angles 60.00, 60.00, 60.00 degrees
Positions (direct):
Cl: 0.000 0.000 0.000
In: 0.500 0.500 0.500
Mg: 0.750 0.750 0.750

Summary:
total DFT energy (no corrections): -2.29 eV/atom
ΔE to the lowest computed polymorph: 631 meV per atom
ΔE_f (raw): -22.2 kJ/mol of atoms
ρ: 3.12 g cm⁻³
magnetization: 0.000 μB/f.u.

(17)
DFT (PBE) results for an optimized crystal structure of Mg4InCl.

Cell lengths 5.891, 5.891, 5.891 Å; angles 60.00, 60.00, 60.00 degrees
Positions (direct):
Mg: 0.878 0.374 0.374
Mg: 0.374 0.374 0.878
Mg: 0.374 0.878 0.374
Mg: 0.374 0.374 0.374
In: 0.000 0.000 0.000
Cl: 0.750 0.750 0.750

Summary:
total DFT energy (no corrections): -1.91 eV/atom
ΔE_f (raw): -8.3 kJ/mol of atoms
ρ: 2.84 g cm⁻³
magnetization: 0.000 μB/f.u.

(18)
DFT (PBE) results for an optimized crystal structure of MgIn3Cl6.

Cell lengths 7.094, 9.651, 9.651 Å; angles 101.17, 90.00, 90.00 degrees
Positions (direct):
Mg: 0.036 0.206 0.794
Mg: 0.536 0.794 0.206
In: 0.474 0.929 0.716
In: 0.974 0.716 0.929
In: 0.390 0.419 0.581
In: 0.890 0.581 0.419
In: 0.974 0.071 0.284
In: 0.474 0.284 0.071
Cl: 0.179 0.662 0.605
Cl: 0.679 0.605 0.662
Cl: 0.201 0.422 0.871
Cl: 0.701 0.871 0.422
Cl: 0.143 0.056 0.944
Cl: 0.708 0.219 0.781
Cl: 0.208 0.781 0.219
Cl: 0.643 0.944 0.056
Cl: 0.201 0.129 0.578
Cl: 0.701 0.578 0.129
Cl: 0.179 0.395 0.338
Cl: 0.679 0.338 0.395

Summary:
total DFT energy (no corrections): -3.19 eV/atom
ΔE_f (raw): -105.8 kJ/mol of atoms
ρ: 2.98 g cm⁻³
magnetization: 0.000 μB/f.u.

(19)
DFT (PBE) results for an optimized crystal structure of MgIn2Cl.

Cell lengths 6.266, 6.266, 6.266 Å; angles 138.28, 138.28, 60.47 degrees
Positions (direct):
Cl: 0.750 0.250 0.500
In: 0.000 0.000 0.000
In: 0.250 0.750 0.500
Mg: 0.500 0.500 0.000

Summary:
total DFT energy (no corrections): -2.44 eV/atom
ΔE to the lowest computed polymorph: 293 meV per atom
ΔE_f (raw): -20.5 kJ/mol of atoms
ρ: 4.46 g cm⁻³
magnetization: 0.000 μB/f.u.

(20)
DFT (PBE) results for an optimized crystal structure of MgIn3Cl.

Cell lengths 5.647, 5.647, 5.647 Å; angles 90.00, 90.00, 90.00 degrees
Positions (direct):
Mg: 0.500 0.500 0.500
Cl: 0.000 0.000 0.000
In: 0.000 0.500 0.000
In: 0.000 0.000 0.500
In: 0.500 0.000 0.000

Summary:
total DFT energy (no corrections): -2.18 eV/atom
ΔE to the lowest computed polymorph: 62 meV per atom
ΔE_f (raw): 14.5 kJ/mol of atoms
ρ: 3.73 g cm⁻³
magnetization: 0.000 μB/f.u.

(21)
DFT (PBE) results for an optimized crystal structure of MgIn2Cl4.

Cell lengths 3.865, 8.738, 11.700 Å; angles 90.00, 90.00, 90.00 degrees
Positions (direct):
Mg: 0.000 0.000 0.500
Mg: 0.000 0.500 0.000
In: 0.500 0.924 0.822
In: 0.500 0.076 0.178
In: 0.500 0.424 0.678
In: 0.500 0.576 0.322
Cl: 0.000 0.639 0.814
Cl: 0.000 0.361 0.186
Cl: 0.000 0.139 0.686
Cl: 0.000 0.861 0.314
Cl: 0.500 0.832 0.575
Cl: 0.500 0.168 0.425
Cl: 0.500 0.668 0.075
Cl: 0.500 0.332 0.925

Summary:
total DFT energy (no corrections): -3.32 eV/atom
ΔE to the lowest computed polymorph: 0 meV per atom
ΔE_f (raw): -121.3 kJ/mol of atoms
ρ: 3.33 g cm⁻³
magnetization: 0.000 μB/f.u.

(22)
DFT (PBE) results for an optimized crystal structure of MgIn2Cl6.

Cell lengths 9.901, 8.058, 8.058 Å; angles 76.49, 75.76, 75.76 degrees
Positions (direct):
Mg: 0.250 0.047 0.953
Mg: 0.750 0.953 0.047
In: 0.259 0.701 0.722
In: 0.241 0.278 0.299
In: 0.741 0.299 0.278
In: 0.759 0.722 0.701
Cl: 0.533 0.614 0.704
Cl: 0.967 0.296 0.386
Cl: 0.467 0.386 0.296
Cl: 0.033 0.704 0.614
Cl: 0.706 0.957 0.351
Cl: 0.794 0.649 0.043
Cl: 0.294 0.043 0.649
Cl: 0.206 0.351 0.957
Cl: 0.141 0.797 0.025
Cl: 0.359 0.975 0.203
Cl: 0.859 0.203 0.975
Cl: 0.641 0.025 0.797

Summary:
total DFT energy (no corrections): -3.16 eV/atom
ΔE to the lowest computed polymorph: 70 meV per atom
ΔE_f (raw): -110.7 kJ/mol of atoms
ρ: 2.61 g cm⁻³
magnetization: 0.000 μB/f.u.

(23)
DFT (PBE) results for an optimized crystal structure of MgIn2Cl6.

Cell lengths 6.591, 10.355, 10.355 Å; angles 70.57, 79.36, 79.36 degrees
Positions (direct):
Mg: 0.250 0.000 0.000
Mg: 0.750 0.000 0.000
In: 0.209 0.471 0.698
In: 0.291 0.302 0.529
In: 0.791 0.529 0.302
In: 0.709 0.698 0.471
Cl: 0.322 0.711 0.564
Cl: 0.178 0.436 0.289
Cl: 0.678 0.289 0.436
Cl: 0.822 0.564 0.711
Cl: 0.810 0.915 0.431
Cl: 0.690 0.569 0.085
Cl: 0.190 0.085 0.569
Cl: 0.310 0.431 0.915
Cl: 0.041 0.823 0.037
Cl: 0.459 0.963 0.177
Cl: 0.959 0.177 0.963
Cl: 0.541 0.037 0.823

Summary:
total DFT energy (no corrections): -3.23 eV/atom
ΔE to the lowest computed polymorph: 0 meV per atom
ΔE_f (raw): -117.4 kJ/mol of atoms
ρ: 2.39 g cm⁻³
magnetization: 0.000 μB/f.u.

(24)
DFT (PBE) results for an optimized crystal structure of MgInCl.

Cell lengths 8.308, 8.308, 8.308 Å; angles 157.40, 157.40, 32.17 degrees
Positions (direct):
Cl: 0.060 0.060 0.000
In: 0.295 0.295 0.000
Mg: 0.645 0.645 0.000

Summary:
total DFT energy (no corrections): -2.69 eV/atom
ΔE to the lowest computed polymorph: 233 meV per atom
ΔE_f (raw): -60.6 kJ/mol of atoms
ρ: 3.43 g cm⁻³
magnetization: 0.000 μB/f.u.

(25)
DFT (PBE) results for an optimized crystal structure of MgIn2Cl.

Cell lengths 3.440, 3.440, 8.642 Å; angles 90.00, 90.00, 90.00 degrees
Positions (direct):
Cl: 0.500 0.500 0.750
In: 0.000 0.000 0.000
In: 0.000 0.000 0.500
Mg: 0.500 0.500 0.250

Summary:
total DFT energy (no corrections): -2.45 eV/atom
ΔE to the lowest computed polymorph: 282 meV per atom
ΔE_f (raw): -21.5 kJ/mol of atoms
ρ: 4.70 g cm⁻³
magnetization: 0.000 μB/f.u.